(1)
NaBBr3: relaxed, PBE-GGA.

abc: 5.4759 5.4759 5.4759
angles: 90.00 90.00 90.00
Closest atoms and distances in Å follow each position.
Fractional positions:
Br1 0.0000 0.5000 0.0000  2 Na 2.74
Br2 0.0000 0.0000 0.5000  2 Na 2.74
Br3 0.5000 0.0000 0.0000  2 Na 2.74
B1 0.5000 0.5000 0.5000  12 Br 3.87
Na1 0.0000 0.0000 0.0000  6 Br 2.74

Calculated values
Calculated total energy ... -0.0723 Ha/atom
Energy above the lowest structure with this stoichiometry ... 1.481 eV/atom
Crystal system ... cubic
DOS at the Fermi energy ... 7.82 states/eV/f.u.

---

(2)
NaBBr3: relaxed, PBE-GGA.

abc: 4.8640 4.8640 4.8640
angles: 90.00 90.00 90.00
Closest atoms and distances in Å follow each position.
Fractional positions:
Br1 0.0000 0.5000 0.0000  2 B 2.43
Br2 0.0000 0.0000 0.5000  2 B 2.43
Br3 0.5000 0.0000 0.0000  2 B 2.43
Na1 0.5000 0.5000 0.5000  12 Br 3.44
B1 0.0000 0.0000 0.0000  6 Br 2.43

Calculated values
Calculated total energy ... -0.1010 Ha/atom
Energy above the lowest structure with this stoichiometry ... 0.700 eV/atom
Crystal system ... cubic
DOS at the Fermi energy ... 1.32 states/eV/f.u.